The following is a PBE calculation of a relaxed Y4FeC2S crystal, from OQMD via LeMat-Bulk.

```
Y4FeC2S
1.0
-3.4441 -0.0557 -1.2039
0.7531 -1.0179 3.4221
-1.6657 12.7983 4.1734
Y Fe S C
4 1 1 2
direct
0.0000 0.0000 0.6399
0.0000 0.0000 0.3601
0.6667 0.3333 0.8396
0.6667 0.3333 0.1604
0.0000 0.0000 0.0000
0.6667 0.3333 0.5000
0.3333 0.6667 0.2597
0.3333 0.6667 0.7403
```

Computed properties:
Total energy ... -61.07 eV per cell
Crystal system ... hexagonal
Space-group type ... No. 187